[1]
A geometry-optimized Eu2AgSe structure, computed with PBE.

Results
Its formation energy (no corrections) is -1.0055 eV/atom. As for the raw total energy: -30.907 eV per cell. The total magnetization is 14.46 μB/f.u. Its crystal system is tetragonal. The value obtained for the mass density is 7.58 g/cm3.

Unit cell a=3.781 b=3.781 c=7.516 alpha=90.00 beta=90.00 gamma=90.00
Sites, in units of the cell vectors:
Eu  0.000  0.000  0.763
Eu  0.000  0.000  0.237
Se  0.500  0.500  0.000
Ag  0.500  0.500  0.500



[2]
A geometry-optimized TaCoRu3 structure, computed with PBE.

Results
As for the raw total energy: -41.106 eV per cell. The total magnetization is 3.81 μB/f.u. Its crystal system is cubic. The value obtained for the mass density is 10.83 g/cm3.

Unit cell a=4.367 b=4.367 c=4.367 alpha=90.00 beta=90.00 gamma=90.00
Sites, in units of the cell vectors:
Ru  0.000  0.500  0.000
Ru  0.000  0.000  0.500
Ru  0.500  0.000  0.000
Co  0.000  0.000  0.000
Ta  0.500  0.500  0.500



[3]
A geometry-optimized LiY2As structure, computed with PBE.

Results
As for the raw total energy: -21.559 eV per cell. The total magnetization is 0.69 μB/f.u. Its crystal system is tetragonal. The value obtained for the mass density is 4.43 g/cm3.

Unit cell a=4.002 b=4.002 c=6.080 alpha=90.00 beta=90.00 gamma=90.00
Sites, in units of the cell vectors:
As  0.000  0.000  0.473
Li  0.500  0.500  0.756
Y  0.000  0.000  0.969
Y  0.500  0.500  0.302



[4]
A geometry-optimized ZrPb2 structure, computed with PBE.

Results
As for the raw total energy: -31.888 eV per cell. The total magnetization is 0.00 μB/f.u. Its crystal system is tetragonal. The value obtained for the mass density is 10.13 g/cm3.

Unit cell a=15.587 b=15.587 c=15.587 alpha=167.92 beta=167.92 gamma=17.11
Sites, in units of the cell vectors:
Zr  0.000  0.000  0.000
Zr  0.750  0.250  0.500
Pb  0.574  0.574  0.000
Pb  0.176  0.676  0.500
Pb  0.426  0.426  0.000
Pb  0.324  0.824  0.500



Which value of raw total energy does entry 4 give? -31.888 eV per cell



Among the records above, which one has the highest mass density? TaCoRu3



Which of these has the lowest raw total energy? TaCoRu3



Look up the mass density of the first one. 7.58 g/cm3